[1]
Compound: TcSn3Bi
Source: Alexandria
Functional: PBEsol
Structure: relaxed

Results
M_tot	0.93	μB/f.u.
SG	Pm-3m, No. 221
crystal system	cubic
calculated formation energy	0.31	eV per atom
E_tot	-5.355	eV/atom

Structure (POSCAR):
```
TcSn3Bi
1.0
-2.8758 3.8086 -1.9253
-2.3686 -3.3556 -3.1003
-3.5499 -0.8464 3.6282
Tc Bi Sn
1 1 3
direct
0.0000 0.0000 0.0000 Tc
0.5000 0.5000 0.5000 Bi
0.0000 0.5000 0.0000 Sn
0.0000 0.0000 0.5000 Sn
0.5000 0.0000 0.0000 Sn
```

***

[2]
Compound: SnBi2Te
Source: Alexandria
Functional: PBEsol
Structure: relaxed

Results
uncorrected formation energy	0.0016	eV per atom
M_tot	0.00	μB/f.u.
SG	I-42d, No. 122
crystal system	tetragonal
E_tot	-4.087	eV/atom

Structure (POSCAR):
```
SnBi2Te
1.0
8.7238 0.0000 0.0000
0.0000 8.7238 0.0000
-4.3619 -4.3619 3.2312
Te Bi Sn
2 4 2
direct
0.2500 0.7500 0.5000 Te
0.0000 0.0000 0.0000 Te
0.8649 0.3750 0.2500 Bi
0.3851 0.8750 0.2500 Bi
0.6250 0.6149 0.7500 Bi
0.1250 0.1351 0.7500 Bi
0.7500 0.2500 0.5000 Sn
0.5000 0.5000 0.0000 Sn
```

***

[3]
Compound: SnBi2Te4
Source: Alexandria
Functional: PBEsol
Structure: relaxed

Results
uncorrected formation energy	-0.2404	eV per atom
energy above the most stable polymorph in this dataset	0.000	eV/atom
M_tot	0.00	μB/f.u.
SG	R-3m, No. 166
crystal system	trigonal
E_tot	-4.088	eV/atom

Structure (POSCAR):
```
SnBi2Te4
1.0
-3.3082 2.6335 -1.2074
-1.2325 0.1898 -4.2169
-10.4250 -9.2703 0.3368
Te Bi Sn
4 2 1
direct
0.8646 0.8646 0.4061 Te
0.7112 0.7112 0.8663 Te
0.2888 0.2888 0.1337 Te
0.1354 0.1354 0.5939 Te
0.5730 0.5730 0.2811 Bi
0.4270 0.4270 0.7189 Bi
0.0000 0.0000 0.0000 Sn
```

***

[4]
Compound: SnBiTe3
Source: Alexandria
Functional: PBEsol
Structure: relaxed

Results
uncorrected formation energy	0.5062	eV per atom
M_tot	0.00	μB/f.u.
SG	Pm-3m, No. 221
crystal system	cubic
E_tot	-3.318	eV/atom

Structure (POSCAR):
```
SnBiTe3
1.0
5.7766 0.0000 0.0000
0.0000 5.7766 0.0000
0.0000 0.0000 5.7766
Te Bi Sn
3 1 1
direct
0.0000 0.5000 0.0000 Te
0.0000 0.0000 0.5000 Te
0.5000 0.0000 0.0000 Te
0.0000 0.0000 0.0000 Bi
0.5000 0.5000 0.5000 Sn
```

***

[5]
Compound: SnBi2Te4
Source: Alexandria
Functional: PBEsol
Structure: relaxed

Results
uncorrected formation energy	-0.2041	eV per atom
energy above the most stable polymorph in this dataset	0.036	eV/atom
M_tot	0.00	μB/f.u.
SG	Cm, No. 8
crystal system	monoclinic
E_tot	-4.052	eV/atom

Structure (POSCAR):
```
SnBi2Te4
1.0
4.3941 0.0000 0.0000
2.1970 14.1751 0.0462
2.1970 1.7806 19.0018
Te Sn Bi
20 5 10
direct
0.1750 0.6192 0.0307 Te
0.4028 0.1316 0.0627 Te
0.5826 0.6097 0.2251 Te
0.8015 0.1349 0.2621 Te
0.9896 0.8773 0.1434 Te
0.9894 0.5978 0.4234 Te
0.2140 0.3983 0.1736 Te
0.2057 0.1316 0.4569 Te
0.3927 0.8697 0.3450 Te
0.3915 0.5931 0.6240 Te
0.6091 0.4075 0.3743 Te
0.6107 0.1255 0.6532 Te
0.7978 0.8638 0.5406 Te
0.7678 0.6345 0.8299 Te
0.0153 0.3944 0.5750 Te
0.0148 0.1170 0.8533 Te
0.2004 0.8618 0.7373 Te
0.4238 0.3793 0.7730 Te
0.5772 0.8947 0.9510 Te
0.8304 0.3702 0.9691 Te
0.7982 0.9989 0.4048 Sn
0.8059 0.7135 0.6747 Sn
0.2069 0.9899 0.5964 Sn
0.1636 0.7721 0.9008 Sn
0.4241 0.2419 0.9099 Sn
0.5870 0.7377 0.0882 Bi
0.8080 0.2651 0.1189 Bi
0.9924 0.7320 0.2833 Bi
0.1976 0.2897 0.3150 Bi
0.3960 0.0086 0.1994 Bi
0.4014 0.7128 0.4843 Bi
0.6035 0.2791 0.5139 Bi
0.0151 0.2548 0.7150 Bi
0.2992 0.5068 0.8948 Bi
0.6090 0.9851 0.7969 Bi
```

***

[6]
Compound: TlSnBi3
Source: Alexandria
Functional: PBEsol
Structure: relaxed

Results
M_tot	0.00	μB/f.u.
SG	Pm-3m, No. 221
crystal system	cubic
calculated formation energy	0.56	eV per atom
E_tot	-3.388	eV/atom

Structure (POSCAR):
```
TlSnBi3
1.0
-2.6775 -5.0376 -0.8017
4.8690 -2.7939 1.2947
-1.5209 -0.0759 5.5561
Tl Bi Sn
1 3 1
direct
0.5000 0.5000 0.5000 Tl
0.0000 0.5000 0.0000 Bi
0.0000 0.0000 0.5000 Bi
0.5000 0.0000 0.0000 Bi
0.0000 0.0000 0.0000 Sn
```

***

[7]
Compound: Tl2SnBi2
Source: Alexandria
Functional: PBEsol
Structure: relaxed

Results
M_tot	0.00	μB/f.u.
SG	P4/mbm, No. 127
crystal system	tetragonal
calculated formation energy	0.08	eV per atom
E_tot	-3.539	eV/atom

Structure (POSCAR):
```
Tl2SnBi2
1.0
-1.2372 4.5509 -1.5084
-7.7331 -2.2219 -0.3609
-1.0085 2.2656 7.6627
Tl Bi Sn
4 4 2
direct
0.5000 0.1724 0.6724 Tl
0.5000 0.6724 0.8276 Tl
0.5000 0.8276 0.3276 Tl
0.5000 0.3276 0.1724 Tl
0.0000 0.3657 0.8657 Bi
0.0000 0.8657 0.6343 Bi
0.0000 0.6343 0.1343 Bi
0.0000 0.1343 0.3657 Bi
0.0000 0.0000 0.0000 Sn
0.0000 0.5000 0.5000 Sn
```

***

[8]
Compound: Y2Sn2Bi
Source: Alexandria
Functional: PBEsol
Structure: relaxed

Results
energy above the most stable polymorph in this dataset	0.000	eV/atom
M_tot	0.00	μB/f.u.
SG	I4/mmm, No. 139
crystal system	tetragonal
calculated formation energy	-0.60	eV per atom
E_tot	-5.892	eV/atom

Structure (POSCAR):
```
Y2Sn2Bi
1.0
-2.1843 2.6934 -2.1831
-0.0782 -2.6179 -3.1516
-5.9008 -3.3615 5.6028
Y Bi Sn
2 1 2
direct
0.3979 0.3979 0.7958 Y
0.6021 0.6021 0.2042 Y
0.0000 0.0000 0.0000 Bi
0.2500 0.7500 0.5000 Sn
0.7500 0.2500 0.5000 Sn
```

***

[9]
Compound: Y3SnBi
Source: Alexandria
Functional: PBEsol
Structure: relaxed

Results
M_tot	0.00	μB/f.u.
SG	Pm-3m, No. 221
crystal system	cubic
calculated formation energy	0.07	eV per atom
E_tot	-5.734	eV/atom

Structure (POSCAR):
```
Y3SnBi
1.0
5.6366 0.0000 0.0000
0.0000 5.6366 0.0000
0.0000 0.0000 5.6366
Y Bi Sn
3 1 1
direct
0.0000 0.5000 0.0000 Y
0.0000 0.0000 0.5000 Y
0.5000 0.0000 0.0000 Y
0.0000 0.0000 0.0000 Bi
0.5000 0.5000 0.5000 Sn
```

***

[10]
Compound: Y2Sn2Bi
Source: Alexandria
Functional: PBEsol
Structure: relaxed

Results
energy above the most stable polymorph in this dataset	0.437	eV/atom
M_tot	0.00	μB/f.u.
SG	I4/mmm, No. 139
crystal system	tetragonal
calculated formation energy	-0.17	eV per atom
E_tot	-5.456	eV/atom

Structure (POSCAR):
```
Y2Sn2Bi
1.0
5.3041 0.0000 0.0000
0.0000 5.3041 0.0000
-2.6521 -2.6521 5.5732
Y Bi Sn
2 1 2
direct
0.2500 0.7500 0.5000 Y
0.7500 0.2500 0.5000 Y
0.0000 0.0000 0.0000 Bi
0.3794 0.3794 0.7589 Sn
0.6206 0.6206 0.2411 Sn
```

***

[11]
Compound: ZnSn3Bi
Source: Alexandria
Functional: PBEsol
Structure: relaxed

Results
M_tot	0.00	μB/f.u.
SG	Pm-3m, No. 221
crystal system	cubic
calculated formation energy	0.98	eV per atom
E_tot	-2.745	eV/atom

Structure (POSCAR):
```
ZnSn3Bi
1.0
5.8127 0.0000 0.0000
0.0000 5.8127 0.0000
0.0000 0.0000 5.8127
Zn Bi Sn
1 1 3
direct
0.5000 0.5000 0.5000 Zn
0.0000 0.0000 0.0000 Bi
0.0000 0.5000 0.0000 Sn
0.0000 0.0000 0.5000 Sn
0.5000 0.0000 0.0000 Sn
```

***

[12]
Compound: Zn2SnBi2
Source: Alexandria
Functional: PBEsol
Structure: relaxed

Results
M_tot	0.00	μB/f.u.
SG	I4/mmm, No. 139
crystal system	tetragonal
calculated formation energy	0.22	eV per atom
E_tot	-2.976	eV/atom

Structure (POSCAR):
```
Zn2SnBi2
1.0
-2.2410 -2.1303 3.4762
3.9479 -2.1240 1.2434
0.4405 6.6396 1.2398
Zn Bi Sn
2 2 1
direct
0.4011 0.4011 0.8023 Zn
0.5989 0.5989 0.1977 Zn
0.2500 0.7500 0.5000 Bi
0.7500 0.2500 0.5000 Bi
0.0000 0.0000 0.0000 Sn
```